Entry from the Open Quantum Materials Database: a relaxed K2RbTbTa2O8 crystal (GGA-PBE).

Calculated values
The total energy is -7.7569 eV/atom. The density comes out at 5.567 g/cm³.

Lattice parameters (Å, degrees): 6.050 6.050 7.646 90.00 90.00 120.00
Atoms (fractional coordinates):
1 K 0.333 0.667 0.162
2 K 0.667 0.333 0.838
3 Rb 0.000 0.000 0.500
4 Tb 0.000 0.000 0.000
5 Ta 0.333 0.667 0.722
6 Ta 0.667 0.333 0.278
7 O 0.169 0.338 0.818
8 O 0.169 0.831 0.818
9 O 0.333 0.667 0.484
10 O 0.338 0.169 0.182
11 O 0.662 0.831 0.818
12 O 0.667 0.333 0.516
13 O 0.831 0.169 0.182
14 O 0.831 0.662 0.182



Entry from the Open Quantum Materials Database: a relaxed K2Rb3TcO6 crystal (GGA-PBE).

Calculated values
The total energy is -5.2143 eV/atom. The density comes out at 4.199 g/cm³.

Lattice parameters (Å, degrees): 6.323 6.323 6.375 99.61 99.61 119.61
Atoms (fractional coordinates):
1 K 0.166 0.834 0.000
2 K 0.834 0.166 0.000
3 Rb 0.000 0.000 0.500
4 Rb 0.328 0.672 0.500
5 Rb 0.672 0.328 0.500
6 Tc 0.500 0.500 0.000
7 O 0.189 0.439 0.816
8 O 0.315 0.315 0.186
9 O 0.439 0.189 0.816
10 O 0.561 0.811 0.184
11 O 0.685 0.685 0.814
12 O 0.811 0.561 0.184



Entry from the Open Quantum Materials Database: a relaxed K3Rb2TcO6 crystal (GGA-PBE).

Calculated values
The total energy is -5.2407 eV/atom. The density comes out at 3.931 g/cm³.

Lattice parameters (Å, degrees): 6.317 6.317 6.336 100.51 100.51 120.08
Atoms (fractional coordinates):
1 K 0.000 0.000 0.000
2 K 0.166 0.834 0.500
3 K 0.834 0.166 0.500
4 Rb 0.326 0.674 0.000
5 Rb 0.674 0.326 0.000
6 Tc 0.500 0.500 0.500
7 O 0.182 0.431 0.309
8 O 0.317 0.317 0.685
9 O 0.431 0.182 0.309
10 O 0.569 0.818 0.691
11 O 0.683 0.683 0.315
12 O 0.818 0.569 0.691



Entry from the Open Quantum Materials Database: a relaxed K2Rb4Zn2O5 crystal (GGA-PBE).

Calculated values
The total energy is -3.8013 eV/atom. The density comes out at 3.785 g/cm³.

Lattice parameters (Å, degrees): 6.863 6.863 6.792 90.36 90.36 120.11
Atoms (fractional coordinates):
1 K 0.223 0.777 0.000
2 K 0.777 0.223 0.000
3 Rb 0.235 0.765 0.500
4 Rb 0.334 0.334 0.816
5 Rb 0.666 0.666 0.184
6 Rb 0.765 0.235 0.500
7 Zn 0.203 0.203 0.303
8 Zn 0.797 0.797 0.697
9 O 0.000 0.000 0.500
10 O 0.161 0.439 0.211
11 O 0.439 0.161 0.211
12 O 0.561 0.839 0.789
13 O 0.839 0.561 0.789



Entry from the Open Quantum Materials Database: a relaxed KReO3 crystal (GGA-PBE).

Calculated values
The total energy is -7.3348 eV/atom. The density comes out at 7.626 g/cm³.

Lattice parameters (Å, degrees): 3.904 3.904 3.904 90.00 90.00 90.00
Atoms (fractional coordinates):
1 K 0.000 0.000 0.000
2 Re 0.500 0.500 0.500
3 O 0.000 0.500 0.500
4 O 0.500 0.000 0.500
5 O 0.500 0.500 0.000



Entry from the Open Quantum Materials Database: a relaxed K2ReO3 crystal (GGA-PBE).

Calculated values
The total energy is -6.3891 eV/atom. The energy above the most stable polymorph in this dataset is 0 meV per atom. The density comes out at 4.136 g/cm³.

Lattice parameters (Å, degrees): 6.250 6.458 7.076 89.64 89.50 61.43
Atoms (fractional coordinates):
1 K 0.000 0.000 0.000
2 K 0.000 0.000 0.500
3 K 0.321 0.337 0.265
4 K 0.679 0.663 0.735
5 Re 0.343 0.335 0.757
6 Re 0.657 0.665 0.243
7 O 0.096 0.261 0.748
8 O 0.244 0.644 0.755
9 O 0.360 0.914 0.244
10 O 0.640 0.086 0.756
11 O 0.756 0.356 0.245
12 O 0.904 0.739 0.252



Entry from the Open Quantum Materials Database: a relaxed KReO3 crystal (GGA-PBE).

Calculated values
The total energy is -7.3359 eV/atom. The density comes out at 7.575 g/cm³.

Lattice parameters (Å, degrees): 5.528 5.528 5.528 60.14 60.14 60.14
Atoms (fractional coordinates):
1 K 0.250 0.250 0.250
2 K 0.750 0.750 0.750
3 Re 0.000 0.000 0.000
4 Re 0.500 0.500 0.500
5 O 0.249 0.750 0.251
6 O 0.250 0.749 0.751
7 O 0.251 0.249 0.750
8 O 0.749 0.751 0.250
9 O 0.750 0.251 0.249
10 O 0.751 0.250 0.749



Entry from the Open Quantum Materials Database: a relaxed KReO3 crystal (GGA-PBE).

Calculated values
The total energy is -7.2111 eV/atom. The density comes out at 6.085 g/cm³.

Lattice parameters (Å, degrees): 6.598 6.598 6.598 48.78 48.78 48.78
Atoms (fractional coordinates):
1 K 0.138 0.138 0.138
2 K 0.862 0.862 0.862
3 Re 0.336 0.336 0.336
4 Re 0.664 0.664 0.664
5 O 0.059 0.475 0.656
6 O 0.344 0.941 0.525
7 O 0.475 0.656 0.059
8 O 0.525 0.344 0.941
9 O 0.656 0.059 0.475
10 O 0.941 0.525 0.344



Entry from the Open Quantum Materials Database: a relaxed K2Re2O5 crystal (GGA-PBE).

Calculated values
The total energy is -4.9647 eV/atom. The energy above the most stable polymorph in this dataset is 2127 meV per atom. The density comes out at 7.383 g/cm³.

Lattice parameters (Å, degrees): 3.731 3.731 8.574 90.00 90.00 90.00
Atoms (fractional coordinates):
1 K 0.000 0.000 0.190
2 K 0.000 0.000 0.810
3 Re 0.500 0.500 0.000
4 Re 0.500 0.500 0.500
5 O 0.000 0.000 0.500
6 O 0.000 0.500 0.368
7 O 0.000 0.500 0.632
8 O 0.500 0.000 0.368
9 O 0.500 0.000 0.632



Entry from the Open Quantum Materials Database: a relaxed K2ReO3 crystal (GGA-PBE).

Calculated values
The total energy is -6.3745 eV/atom. The energy above the most stable polymorph in this dataset is 15 meV per atom. The density comes out at 4.026 g/cm³.

Lattice parameters (Å, degrees): 6.403 6.403 7.258 90.00 90.00 120.00
Atoms (fractional coordinates):
1 K 0.000 0.000 0.000
2 K 0.000 0.000 0.500
3 K 0.333 0.667 0.246
4 K 0.667 0.333 0.754
5 Re 0.333 0.667 0.748
6 Re 0.667 0.333 0.252
7 O 0.101 0.745 0.750
8 O 0.255 0.355 0.750
9 O 0.355 0.255 0.250
10 O 0.645 0.899 0.750
11 O 0.745 0.101 0.250
12 O 0.899 0.645 0.250



Entry from the Open Quantum Materials Database: a relaxed KReO3 crystal (GGA-PBE).

Calculated values
The total energy is -7.1363 eV/atom. The density comes out at 4.944 g/cm³.

Lattice parameters (Å, degrees): 6.323 6.323 6.323 61.21 61.21 61.21
Atoms (fractional coordinates):
1 K 0.000 0.000 0.000
2 K 0.500 0.500 0.500
3 Re 0.250 0.250 0.250
4 Re 0.750 0.750 0.750
5 O 0.022 0.750 0.478
6 O 0.250 0.522 0.978
7 O 0.478 0.022 0.750
8 O 0.522 0.978 0.250
9 O 0.750 0.478 0.022
10 O 0.978 0.250 0.522



Entry from the Open Quantum Materials Database: a relaxed KReO3 crystal (GGA-PBE).

Calculated values
The total energy is -7.3374 eV/atom. The density comes out at 7.573 g/cm³.

Lattice parameters (Å, degrees): 5.534 7.825 5.535 90.00 90.00 90.00
Atoms (fractional coordinates):
1 K 0.001 0.250 0.000
2 K 0.499 0.750 0.500
3 K 0.501 0.250 0.500
4 K 0.999 0.750 0.000
5 Re 0.000 0.000 0.500
6 Re 0.000 0.500 0.500
7 Re 0.500 0.000 0.000
8 Re 0.500 0.500 0.000
9 O 0.000 0.250 0.499
10 O 0.000 0.750 0.501
11 O 0.249 0.000 0.249
12 O 0.249 0.500 0.249
13 O 0.251 0.000 0.749
14 O 0.251 0.500 0.749
15 O 0.500 0.250 0.001
16 O 0.500 0.750 0.999
17 O 0.749 0.000 0.251
18 O 0.749 0.500 0.251
19 O 0.751 0.000 0.751
20 O 0.751 0.500 0.751



Entry from the Open Quantum Materials Database: a relaxed KReO3 crystal (GGA-PBE).

Calculated values
The total energy is -7.0820 eV/atom. The density comes out at 5.510 g/cm³.

Lattice parameters (Å, degrees): 4.981 10.466 6.320 90.00 90.00 90.00
Atoms (fractional coordinates):
1 K 0.000 0.000 0.000
2 K 0.000 0.500 0.000
3 K 0.500 0.000 0.500
4 K 0.500 0.500 0.500
5 Re 0.010 0.250 0.467
6 Re 0.490 0.750 0.967
7 Re 0.510 0.250 0.033
8 Re 0.990 0.750 0.533
9 O 0.040 0.609 0.386
10 O 0.040 0.891 0.386
11 O 0.144 0.750 0.820
12 O 0.356 0.250 0.320
13 O 0.460 0.109 0.886
14 O 0.460 0.391 0.886
15 O 0.540 0.609 0.114
16 O 0.540 0.891 0.114
17 O 0.644 0.750 0.680
18 O 0.856 0.250 0.180
19 O 0.960 0.109 0.614
20 O 0.960 0.391 0.614



Entry from the Open Quantum Materials Database: a relaxed K2Re2O5 crystal (GGA-PBE).

Calculated values
The total energy is -7.0919 eV/atom. The energy above the most stable polymorph in this dataset is 0 meV per atom. The density comes out at 7.384 g/cm³.

Lattice parameters (Å, degrees): 3.880 3.880 7.927 90.00 90.00 90.00
Atoms (fractional coordinates):
1 K 0.000 0.000 0.000
2 K 0.000 0.000 0.500
3 Re 0.500 0.500 0.245
4 Re 0.500 0.500 0.755
5 O 0.000 0.500 0.235
6 O 0.000 0.500 0.765
7 O 0.500 0.000 0.235
8 O 0.500 0.000 0.765
9 O 0.500 0.500 0.500



Entry from the Open Quantum Materials Database: a relaxed KScRe2O8 crystal (GGA-PBE).

Calculated values
The total energy is -7.9348 eV/atom. The density comes out at 4.842 g/cm³.

Lattice parameters (Å, degrees): 5.765 5.765 6.963 90.00 90.00 120.00
Atoms (fractional coordinates):
1 K 0.000 0.000 0.000
2 Sc 0.000 0.000 0.500
3 Re 0.333 0.667 0.227
4 Re 0.667 0.333 0.773
5 O 0.166 0.331 0.319
6 O 0.166 0.834 0.319
7 O 0.331 0.166 0.681
8 O 0.333 0.667 0.973
9 O 0.667 0.333 0.027
10 O 0.669 0.834 0.319
11 O 0.834 0.166 0.681
12 O 0.834 0.669 0.681



Entry from the Open Quantum Materials Database: a relaxed KTl3Re2O6 crystal (GGA-PBE).

Calculated values
The total energy is -6.2469 eV/atom. The density comes out at 7.158 g/cm³.

Lattice parameters (Å, degrees): 6.567 6.567 6.961 90.00 90.00 120.00
Atoms (fractional coordinates):
1 K 0.000 0.000 0.000
2 Tl 0.000 0.000 0.500
3 Tl 0.333 0.667 0.236
4 Tl 0.667 0.333 0.764
5 Re 0.333 0.667 0.761
6 Re 0.667 0.333 0.239
7 O 0.176 0.352 0.761
8 O 0.176 0.824 0.761
9 O 0.352 0.176 0.239
10 O 0.648 0.824 0.761
11 O 0.824 0.176 0.239
12 O 0.824 0.648 0.239



Entry from the Open Quantum Materials Database: a relaxed K7TaS6O24 crystal (GGA-PBE).

Calculated values
The total energy is -6.1291 eV/atom. The density comes out at 2.922 g/cm³.

Lattice parameters (Å, degrees): 9.112 9.112 9.112 109.31 109.31 109.31
Atoms (fractional coordinates):
1 K 0.000 0.000 0.000
2 K 0.143 0.657 0.812
3 K 0.188 0.857 0.343
4 K 0.343 0.188 0.857
5 K 0.657 0.812 0.143
6 K 0.812 0.143 0.657
7 K 0.857 0.343 0.188
8 Ta 0.500 0.500 0.500
9 S 0.111 0.245 0.471
10 S 0.245 0.471 0.111
11 S 0.471 0.111 0.245
12 S 0.529 0.889 0.755
13 S 0.755 0.529 0.889
14 S 0.889 0.755 0.529
15 O 0.029 0.872 0.718
16 O 0.046 0.333 0.579
17 O 0.128 0.282 0.971
18 O 0.155 0.541 0.196
19 O 0.196 0.155 0.541
20 O 0.258 0.399 0.474
21 O 0.282 0.971 0.128
22 O 0.333 0.579 0.046
23 O 0.399 0.474 0.258
24 O 0.421 0.954 0.667
25 O 0.459 0.804 0.845
26 O 0.474 0.258 0.399
27 O 0.526 0.742 0.601
28 O 0.541 0.196 0.155
29 O 0.579 0.046 0.333
30 O 0.601 0.526 0.742
31 O 0.667 0.421 0.954
32 O 0.718 0.029 0.872
33 O 0.742 0.601 0.526
34 O 0.804 0.845 0.459
35 O 0.845 0.459 0.804
36 O 0.872 0.718 0.029
37 O 0.954 0.667 0.421
38 O 0.971 0.128 0.282



Entry from the Open Quantum Materials Database: a relaxed KTbSO crystal (GGA-PBE).

Calculated values
The total energy is -5.7630 eV/atom. The energy above the most stable polymorph in this dataset is 256 meV per atom. The density comes out at 5.071 g/cm³.

Lattice parameters (Å, degrees): 4.054 4.054 9.805 90.00 90.00 90.00
Atoms (fractional coordinates):
1 K 0.250 0.750 0.000
2 K 0.750 0.250 0.000
3 Tb 0.250 0.250 0.394
4 Tb 0.750 0.750 0.606
5 S 0.250 0.250 0.776
6 S 0.750 0.750 0.224
7 O 0.250 0.750 0.500
8 O 0.750 0.250 0.500



Entry from the Open Quantum Materials Database: a relaxed KTbSO crystal (GGA-PBE).

Calculated values
The total energy is -5.9116 eV/atom. The energy above the most stable polymorph in this dataset is 107 meV per atom. The density comes out at 3.580 g/cm³.

Lattice parameters (Å, degrees): 4.427 8.028 6.422 90.00 90.00 90.00
Atoms (fractional coordinates):
1 K 0.000 0.194 0.000
2 K 0.000 0.806 0.500
3 Tb 0.500 0.370 0.432
4 Tb 0.500 0.630 0.932
5 S 0.000 0.200 0.512
6 S 0.000 0.800 0.012
7 O 0.500 0.406 0.105
8 O 0.500 0.594 0.605